Record 1
DFT (PBE) results for crystalline Na2InCoCl at its relaxed geometry.

a = 6.080 Å, b = 5.426 Å, c = 6.080 Å
α = 90.00°, β = 90.00°, γ = 90.00°
Last column: magnetic moment on the atom in μB.
Fractional coordinates of all 5 atoms:
Na (0.000, 0.000, 0.500)  0.01
Na (0.500, 0.000, 0.000)  0.01
Cl (0.000, 0.500, 0.000)  0.01
Co (0.500, 0.500, 0.500)  2.24
In (0.000, 0.000, 0.000)  0.05

Properties
- Calculated density: 2.11 g/cm3
- Final energy: -0.1650 Ry per atom

Record 2
DFT (PBE) results for crystalline NdDyAgOs at its relaxed geometry.

a = 5.032 Å, b = 5.032 Å, c = 5.032 Å
α = 60.00°, β = 60.00°, γ = 60.00°
Fractional coordinates of all 4 atoms:
Nd (0.500, 0.500, 0.500)
Os (0.750, 0.750, 0.750)
Ag (0.250, 0.250, 0.250)
Dy (0.000, 0.000, 0.000)

Properties
- Calculated density: 11.15 g/cm3
- E_form: -4.0 kcal/mol of atoms

Record 3
DFT (PBE) results for crystalline Be5Cu2Au2 at its relaxed geometry.

a = 2.653 Å, b = 7.807 Å, c = 5.977 Å
α = 78.20°, β = 89.95°, γ = 99.74°
Fractional coordinates of all 9 atoms:
Be (0.772, 0.544, 0.848)
Be (0.228, 0.456, 0.152)
Be (0.947, 0.892, 0.385)
Be (0.053, 0.108, 0.615)
Be (0.000, 0.000, 0.000)
Cu (0.849, 0.699, 0.156)
Cu (0.151, 0.301, 0.844)
Au (0.589, 0.177, 0.267)
Au (0.411, 0.823, 0.733)

Properties
- Calculated density: 7.88 g/cm3
- E_form: 5.3 kcal/mol of atoms